Material: LiGa2MoPd
Method: DFT, PBE-GGA
State: optimized geometry

Unit cell a=4.700 b=4.331 c=4.700 alpha=90.00 beta=90.00 gamma=90.00
Positions (direct):
Mo 0.500 0.500 0.500
Ga 0.000 0.000 0.500
Ga 0.500 0.000 0.000
Pd 0.000 0.000 0.000
Li 0.000 0.500 0.000

Formation energy (eV/atom): 0.5274
ρ (g/cm3): 6.1


Material: LiGaMoRh
Method: DFT, PBE-GGA
State: optimized geometry

Unit cell a=4.300 b=4.300 c=4.300 alpha=60.00 beta=60.00 gamma=60.00
Positions (direct):
Mo 0.250 0.250 0.250
Rh 0.500 0.500 0.500
Ga 0.750 0.750 0.750
Li 0.000 0.000 0.000

Formation energy (eV/atom): -0.1904
ρ (g/cm3): 8.1


Material: Li2GaMoRu
Method: DFT, PBE-GGA
State: optimized geometry

Unit cell a=4.240 b=4.653 c=4.240 alpha=90.00 beta=90.00 gamma=90.00
Positions (direct):
Ru 0.000 0.000 0.000
Mo 0.500 0.500 0.500
Ga 0.000 0.500 0.000
Li 0.000 0.000 0.500
Li 0.500 0.000 0.000

Formation energy (eV/atom): 1.0993
ρ (g/cm3): 5.6